OsPtW: relaxed, PBE.

Calculated values
Density of states at the Fermi level in states/eV per atom: 0.87
Relative energy among the computed polymorphs in eV/atom: 0.273
Formation enthalpy at 0 K in kJ/mol of formula units: 43.2

a = 3.3073 Å, b = 3.3073 Å, c = 8.5911 Å
α = 90.00°, β = 90.00°, γ = 90.00°
Space group I4mm (No. 107)
Unique sites:
Os  0.0000  0.0000  0.0000 x2
Pt  0.0000  0.0000  0.3191 x2
W  0.0000  0.0000  0.6487 x2

=====

V4B4Ru: relaxed, PBE.

Calculated values
Density of states at the Fermi level in states/eV per atom: 0.44
Formation enthalpy at 0 K in kJ/mol of formula units: -279.1

a = 6.5903 Å, b = 6.5903 Å, c = 4.3850 Å
α = 90.00°, β = 90.00°, γ = 90.00°
Space group P4_2/n (No. 86, origin choice 2)
Unique sites:
V  0.0695  0.6609  0.1193 x8
B  0.0141  0.6110  0.6047 x8
Ru  0.2500  0.2500  0.2500 x2

=====

YAlSn2: relaxed, PBE.

Calculated values
Density of states at the Fermi level in states/eV per atom: 0.99
Formation enthalpy at 0 K in kJ/mol of formula units: -12.2

a = 3.3915 Å, b = 3.3915 Å, c = 31.8628 Å
α = 90.00°, β = 90.00°, γ = 120.00°
Space group R-3m (No. 166, hexagonal axes)
Unique sites:
Y  0.0000  0.0000  0.0000 x3
Al  0.0000  0.0000  0.5000 x3
Sn  0.0000  0.0000  0.4140 x6

=====

Be2CoRu: relaxed, PBE.

Calculated values
Density of states at the Fermi level in states/eV per atom: 0.88
Formation enthalpy at 0 K in kJ/mol of formula units: -5.4

a = 2.9115 Å, b = 4.1518 Å, c = 6.9667 Å
α = 90.00°, β = 90.00°, γ = 90.00°
Space group Cmmm (No. 65)
Unique sites:
Be  0.0000  0.0000  0.2376 x4
Co  0.0000  0.5000  0.0000 x2
Ru  0.0000  0.5000  0.5000 x2

=====

Sm2LuCd: relaxed, PBE.

Calculated values
Density of states at the Fermi level in states/eV per atom: 1.20
Relative energy among the computed polymorphs in eV/atom: 0.074
Formation enthalpy at 0 K in kJ/mol of formula units: -21.4

a = 7.7506 Å, b = 7.7506 Å, c = 7.7506 Å
α = 90.00°, β = 90.00°, γ = 90.00°
Space group Fm-3m (No. 225)
Unique sites:
Sm  0.2500  0.2500  0.2500 x8
Lu  0.0000  0.0000  0.0000 x4
Cd  0.0000  0.0000  0.5000 x4

=====

CaNd15Tm4: relaxed, PBE.

Calculated values
Density of states at the Fermi level in states/eV per atom: 1.41
Formation enthalpy at 0 K in kJ/mol of formula units: 40.1

a = 5.1654 Å, b = 5.1654 Å, c = 25.7370 Å
α = 90.00°, β = 90.00°, γ = 90.00°
Space group P4/mmm (No. 123)
Unique sites:
Ca  0.0000  0.0000  0.0000 x1
Nd  0.0000  0.5000  0.1043 x4
Nd  0.0000  0.5000  0.3017 x4
Nd  0.0000  0.5000  0.5000 x2
Nd  0.5000  0.5000  0.0000 x1
Nd  0.5000  0.5000  0.2019 x2
Nd  0.5000  0.5000  0.4005 x2
Tm  0.0000  0.0000  0.2019 x2
Tm  0.0000  0.0000  0.4009 x2

=====

| no. | total magnetization (Bohr magnetons per cell) |
| --- | --- |
| 1 | 0.00 |
| 2 | 0.00 |
| 3 | 0.00 |
| 4 | 1.57 |
| 5 | 0.00 |
| 6 | 0.00 |